# GGA-PBE BeRe, optimized geometry
# Total magnetic moment in μB/atom: 0.001
# SG: F-43m (216)
# Raw total energy in eV per atom: -6.10
# ρ in Mg/m³: 10.7
data_BeRe
_chemical_formula_sum 'Be1 Re1'
_cell_length_a 3.499
_cell_length_b 3.499
_cell_length_c 3.499
_cell_angle_alpha 60.00
_cell_angle_beta 60.00
_cell_angle_gamma 60.00
_space_group_name_H-M_alt 'P 1'
_space_group_IT_number 1
_space_group_name_Hall 'P 1'
loop_
_atom_site_label
_atom_site_type_symbol
_atom_site_fract_x
_atom_site_fract_y
_atom_site_fract_z
Re1 Re 0.750 0.750 0.750
Be1 Be 0.000 0.000 0.000